Entry 1:
{"formula": "Pm2NiAs4Ir3", "functional": "PBE", "state": "relaxed", "total_energy_ev_per_fu": -67.8, "delta_e_f_ev_per_atom": -0.736, "lattice": [[-1.7878, 3.9195, 0.1545], [-3.7550, -1.6610, -1.3129], [-2.6000, -1.5567, 9.4059]], "species": ["As", "As", "As", "As", "Pm", "Pm", "Ni", "Ir", "Ir", "Ir"], "frac_coords": [[0.5000, 0.0000, 0.6299], [0.5000, 0.5000, 0.0000], [0.0000, 0.0000, 0.0000], [0.0000, 0.5000, 0.3701], [0.0000, 0.5000, 0.7478], [0.5000, 0.0000, 0.2522], [0.5000, 0.5000, 0.5000], [0.5000, 0.0000, 0.8776], [0.0000, 0.5000, 0.1224], [0.0000, 0.0000, 0.5000]]}

Entry 2:
{"formula": "Pr2Ni4As3Ir", "functional": "PBE", "state": "relaxed", "total_energy_ev_per_fu": -62.1, "delta_e_f_ev_per_atom": -0.658, "lattice": [[4.1226, 0.0000, 0.0000], [0.0000, 4.1226, 0.0000], [0.0000, 0.0000, 9.9525]], "species": ["Ni", "Ni", "Ni", "Ni", "As", "As", "As", "Pr", "Pr", "Ir"], "frac_coords": [[0.0000, 0.0000, 0.0000], [0.0000, 0.5000, 0.3634], [0.5000, 0.5000, 0.0000], [0.5000, 0.0000, 0.6366], [0.0000, 0.5000, 0.1257], [0.5000, 0.0000, 0.8743], [0.0000, 0.0000, 0.5000], [0.0000, 0.5000, 0.7516], [0.5000, 0.0000, 0.2484], [0.5000, 0.5000, 0.5000]]}

Entry 3:
{"formula": "Pr2NiAs4Ir3", "functional": "PBE", "state": "relaxed", "total_energy_ev_per_fu": -68.0, "delta_e_f_ev_per_atom": -0.744, "lattice": [[-0.5677, -4.1249, 1.2497], [-0.7100, -1.1538, -4.1308], [9.6422, -1.6865, -1.1863]], "species": ["Ir", "Ir", "Ir", "Pr", "Pr", "As", "As", "As", "As", "Ni"], "frac_coords": [[0.0000, 0.5000, 0.1203], [0.0000, 0.0000, 0.5000], [0.5000, 0.0000, 0.8797], [0.0000, 0.5000, 0.7489], [0.5000, 0.0000, 0.2511], [0.0000, 0.0000, 0.0000], [0.5000, 0.0000, 0.6292], [0.5000, 0.5000, 0.0000], [0.0000, 0.5000, 0.3708], [0.5000, 0.5000, 0.5000]]}

Entry 4:
{"formula": "Pu2Ni3As4Ir", "functional": "PBE", "state": "relaxed", "total_energy_ev_per_fu": -79.5, "delta_e_f_ev_per_atom": -0.607, "lattice": [[4.1951, 0.0000, 0.0000], [0.0000, 4.1951, 0.0000], [0.0000, 0.0000, 9.5509]], "species": ["Pu", "Pu", "As", "As", "As", "As", "Ni", "Ni", "Ni", "Ir"], "frac_coords": [[0.0000, 0.5000, 0.7575], [0.5000, 0.0000, 0.2425], [0.5000, 0.5000, 0.0000], [0.5000, 0.0000, 0.6421], [0.0000, 0.5000, 0.3579], [0.0000, 0.0000, 0.0000], [0.0000, 0.5000, 0.1157], [0.0000, 0.0000, 0.5000], [0.5000, 0.0000, 0.8843], [0.5000, 0.5000, 0.5000]]}

Entry 5:
{"formula": "Pu2NiAs4Ir3", "functional": "PBE", "state": "relaxed", "total_energy_ev_per_fu": -84.9, "delta_e_f_ev_per_atom": -0.524, "lattice": [[4.2851, 0.0000, 0.0000], [0.0000, 4.2851, 0.0000], [0.0000, 0.0000, 9.8835]], "species": ["As", "As", "As", "As", "Ir", "Ir", "Ir", "Ni", "Pu", "Pu"], "frac_coords": [[0.5000, 0.0000, 0.6301], [0.0000, 0.5000, 0.3699], [0.0000, 0.0000, 0.0000], [0.5000, 0.5000, 0.0000], [0.0000, 0.0000, 0.5000], [0.0000, 0.5000, 0.1240], [0.5000, 0.0000, 0.8760], [0.5000, 0.5000, 0.5000], [0.5000, 0.0000, 0.2523], [0.0000, 0.5000, 0.7477]]}

Entry 6:
{"formula": "Rb2NiAsIr", "functional": "PBE", "state": "relaxed", "total_energy_ev_per_fu": -16.2, "delta_e_f_ev_per_atom": 1.008, "lattice": [[-5.0250, -3.5486, 2.2100], [2.1547, -3.7409, -1.1076], [2.7369, -0.1803, 5.9333]], "species": ["Ni", "Ir", "Rb", "Rb", "As"], "frac_coords": [[0.0000, 0.5000, 0.0000], [0.0000, 0.0000, 0.0000], [0.0000, 0.0000, 0.5000], [0.5000, 0.0000, 0.0000], [0.5000, 0.5000, 0.5000]]}

Entry 7:
{"formula": "NiAs2IrSe", "functional": "PBE", "state": "relaxed", "total_energy_ev_per_fu": -22.9, "e_above_lowest_polymorph_mev_per_atom": 138, "formation_energy_uncorrected_ev_per_atom": 0.91, "lattice": [[4.6574, 0.0000, 0.0000], [0.0000, 4.6574, 0.0000], [0.0000, 0.0000, 5.3406]], "species": ["Ni", "As", "As", "Se", "Ir"], "frac_coords": [[0.5000, 0.5000, 0.5000], [0.5000, 0.0000, 0.0000], [0.0000, 0.5000, 0.0000], [0.0000, 0.0000, 0.5000], [0.0000, 0.0000, 0.0000]]}

Entry 8:
{"formula": "NiAs2IrSe", "functional": "PBE", "state": "relaxed", "total_energy_ev_per_fu": -23.6, "e_above_lowest_polymorph_mev_per_atom": 0, "formation_energy_uncorrected_ev_per_atom": 0.77, "lattice": [[4.4419, 0.0000, 0.0000], [0.0000, 4.4419, 0.0000], [0.0000, 0.0000, 4.6743]], "species": ["As", "As", "Ir", "Se", "Ni"], "frac_coords": [[0.5000, 0.0000, 0.0000], [0.0000, 0.5000, 0.0000], [0.5000, 0.5000, 0.5000], [0.0000, 0.0000, 0.5000], [0.0000, 0.0000, 0.0000]]}

Entry 9:
{"formula": "Sm2NiAs4Ir3", "functional": "PBE", "state": "relaxed", "total_energy_ev_per_fu": -67.7, "delta_e_f_ev_per_atom": -0.727, "lattice": [[-2.4271, 3.3509, -1.1570], [-2.7341, -0.8768, 3.1959], [5.2004, 5.8577, 6.0559]], "species": ["As", "As", "As", "As", "Sm", "Sm", "Ir", "Ir", "Ir", "Ni"], "frac_coords": [[0.5000, 0.5000, 0.0000], [0.0000, 0.0000, 0.0000], [0.5000, 0.0000, 0.6302], [0.0000, 0.5000, 0.3698], [0.0000, 0.5000, 0.7472], [0.5000, 0.0000, 0.2528], [0.5000, 0.0000, 0.8766], [0.0000, 0.5000, 0.1234], [0.0000, 0.0000, 0.5000], [0.5000, 0.5000, 0.5000]]}

Entry 10:
{"formula": "Sm2Ni4As3Ir", "functional": "PBE", "state": "relaxed", "total_energy_ev_per_fu": -62.1, "delta_e_f_ev_per_atom": -0.671, "lattice": [[4.0531, 0.0000, 0.0000], [0.0000, 4.0531, 0.0000], [0.0000, 0.0000, 10.0186]], "species": ["Ni", "Ni", "Ni", "Ni", "As", "As", "As", "Sm", "Sm", "Ir"], "frac_coords": [[0.5000, 0.5000, 0.0000], [0.5000, 0.0000, 0.6407], [0.0000, 0.5000, 0.3593], [0.0000, 0.0000, 0.0000], [0.5000, 0.0000, 0.8726], [0.0000, 0.5000, 0.1274], [0.0000, 0.0000, 0.5000], [0.5000, 0.0000, 0.2484], [0.0000, 0.5000, 0.7516], [0.5000, 0.5000, 0.5000]]}

Entry 11:
{"formula": "Ni7Sn2As2Ir", "functional": "PBE", "state": "relaxed", "total_energy_ev_per_fu": -67.8, "delta_e_f_ev_per_atom": -0.096, "lattice": [[-1.4166, -2.7462, 1.8486], [-1.6654, -1.1468, -2.9794], [10.0653, -10.2090, -3.9008]], "species": ["Ir", "Ni", "Ni", "Ni", "Ni", "Ni", "Ni", "Ni", "As", "As", "Sn", "Sn"], "frac_coords": [[0.0000, 0.0000, 0.0000], [0.0638, 0.5639, 0.8741], [0.5000, 0.5000, 0.0000], [0.6921, 0.6921, 0.6144], [0.5639, 0.0638, 0.8741], [0.4361, 0.9362, 0.1259], [0.3079, 0.3079, 0.3856], [0.9362, 0.4361, 0.1259], [0.3842, 0.3842, 0.2292], [0.6158, 0.6158, 0.7708], [0.2127, 0.2127, 0.5740], [0.7873, 0.7873, 0.4260]]}

Entry 12:
{"formula": "Sr2Ni3As4Ir", "functional": "PBE", "state": "relaxed", "total_energy_ev_per_fu": -54.4, "delta_e_f_ev_per_atom": -0.624, "lattice": [[-0.9262, -1.6087, -3.8572], [1.2979, -3.8661, 1.3008], [-9.1083, -2.0361, 3.0363]], "species": ["As", "As", "As", "As", "Ni", "Ni", "Ni", "Ir", "Sr", "Sr"], "frac_coords": [[0.5000, 0.5000, 0.0000], [0.0000, 0.5000, 0.3661], [0.0000, 0.0000, 0.0000], [0.5000, 0.0000, 0.6339], [0.5000, 0.0000, 0.8830], [0.0000, 0.0000, 0.5000], [0.0000, 0.5000, 0.1170], [0.5000, 0.5000, 0.5000], [0.5000, 0.0000, 0.2446], [0.0000, 0.5000, 0.7554]]}

Entry 13:
{"formula": "Sr2NiAs4Ir3", "functional": "PBE", "state": "relaxed", "total_energy_ev_per_fu": -60.1, "delta_e_f_ev_per_atom": -0.574, "lattice": [[4.3847, 0.0000, 0.0000], [0.0000, 4.3847, 0.0000], [0.0000, 0.0000, 9.9370]], "species": ["As", "As", "As", "As", "Ir", "Ir", "Ir", "Sr", "Sr", "Ni"], "frac_coords": [[0.0000, 0.0000, 0.0000], [0.5000, 0.0000, 0.6267], [0.0000, 0.5000, 0.3733], [0.5000, 0.5000, 0.0000], [0.0000, 0.5000, 0.1207], [0.5000, 0.0000, 0.8793], [0.0000, 0.0000, 0.5000], [0.5000, 0.0000, 0.2478], [0.0000, 0.5000, 0.7522], [0.5000, 0.5000, 0.5000]]}

Entry 14:
{"formula": "Th2NiAs4Ir3", "functional": "PBE", "state": "relaxed", "total_energy_ev_per_fu": -73.6, "delta_e_f_ev_per_atom": -0.783, "lattice": [[4.3762, 0.0000, 0.0000], [0.0000, 4.3762, 0.0000], [0.0000, 0.0000, 9.6731]], "species": ["Ir", "Ir", "Ir", "As", "As", "As", "As", "Th", "Th", "Ni"], "frac_coords": [[0.0000, 0.5000, 0.1190], [0.0000, 0.0000, 0.5000], [0.5000, 0.0000, 0.8810], [0.0000, 0.0000, 0.0000], [0.5000, 0.0000, 0.6271], [0.0000, 0.5000, 0.3729], [0.5000, 0.5000, 0.0000], [0.0000, 0.5000, 0.7460], [0.5000, 0.0000, 0.2540], [0.5000, 0.5000, 0.5000]]}

Entry 15:
{"formula": "Th2Ni4As3Ir", "functional": "PBE", "state": "relaxed", "total_energy_ev_per_fu": -67.9, "delta_e_f_ev_per_atom": -0.713, "lattice": [[4.0456, 0.0000, 0.0000], [0.0000, 4.0456, 0.0000], [0.0000, 0.0000, 10.2242]], "species": ["Ni", "Ni", "Ni", "Ni", "Th", "Th", "As", "As", "As", "Ir"], "frac_coords": [[0.0000, 0.0000, 0.0000], [0.5000, 0.0000, 0.6507], [0.5000, 0.5000, 0.0000], [0.0000, 0.5000, 0.3493], [0.0000, 0.5000, 0.7463], [0.5000, 0.0000, 0.2537], [0.0000, 0.0000, 0.5000], [0.0000, 0.5000, 0.1235], [0.5000, 0.0000, 0.8765], [0.5000, 0.5000, 0.5000]]}

Entry 16:
{"formula": "TiNiAs2Ir", "functional": "PBE", "state": "relaxed", "total_energy_ev_per_fu": -27.3, "delta_e_f_ev_per_atom": 0.909, "lattice": [[4.7472, 0.0000, 0.0000], [0.0000, 4.6141, 0.0000], [0.0000, 0.0000, 4.7472]], "species": ["Ir", "As", "As", "Ti", "Ni"], "frac_coords": [[0.0000, 0.5000, 0.0000], [0.0000, 0.0000, 0.5000], [0.5000, 0.0000, 0.0000], [0.0000, 0.0000, 0.0000], [0.5000, 0.5000, 0.5000]]}

Entry 17:
{"formula": "TlNiAsIr2", "functional": "PBE", "state": "relaxed", "total_energy_ev_per_fu": -26.8, "delta_e_f_ev_per_atom": 0.734, "lattice": [[-1.2403, 3.7213, -2.5209], [-1.4137, -2.6185, -3.1699], [-4.2313, -0.0846, 1.9570]], "species": ["As", "Tl", "Ni", "Ir", "Ir"], "frac_coords": [[0.0000, 0.0000, 0.0000], [0.5000, 0.5000, 0.5000], [0.0000, 0.5000, 0.0000], [0.5000, 0.0000, 0.0000], [0.0000, 0.0000, 0.5000]]}

Entry 18:
{"formula": "Y2Ni4As3Ir", "functional": "PBE", "state": "relaxed", "total_energy_ev_per_fu": -65.5, "delta_e_f_ev_per_atom": -0.667, "lattice": [[3.9908, 0.0000, 0.0000], [0.0000, 3.9908, 0.0000], [0.0000, 0.0000, 10.0958]], "species": ["Ni", "Ni", "Ni", "Ni", "As", "As", "As", "Ir", "Y", "Y"], "frac_coords": [[0.5000, 0.0000, 0.6434], [0.0000, 0.5000, 0.3566], [0.5000, 0.5000, 0.0000], [0.0000, 0.0000, 0.0000], [0.0000, 0.5000, 0.1294], [0.5000, 0.0000, 0.8706], [0.0000, 0.0000, 0.5000], [0.5000, 0.5000, 0.5000], [0.5000, 0.0000, 0.2472], [0.0000, 0.5000, 0.7528]]}

Entry 19:
{"formula": "Np2AsIr", "functional": "PBE", "state": "relaxed", "total_energy_ev_per_fu": -41.0, "delta_e_f_ev_per_atom": -0.395, "lattice": [[3.9883, 0.0000, 0.0000], [1.9941, 3.4540, 0.0000], [1.9941, 1.1513, 6.7784]], "species": ["As", "Ir", "Np", "Np"], "frac_coords": [[0.0000, 0.0000, 0.0000], [0.5000, 0.5000, 0.5000], [0.7556, 0.7556, 0.7331], [0.2444, 0.2444, 0.2669]]}

Entry 20:
{"formula": "NpAs2Ir", "functional": "PBE", "state": "relaxed", "total_energy_ev_per_fu": -31.7, "delta_e_f_ev_per_atom": -0.149, "lattice": [[5.0211, 0.0000, 0.0000], [2.5106, 4.3484, 0.0000], [2.5106, 1.4495, 3.4791]], "species": ["As", "As", "Ir", "Np"], "frac_coords": [[0.2348, 0.2348, 0.2955], [0.7652, 0.7652, 0.7045], [0.0000, 0.0000, 0.0000], [0.5000, 0.5000, 0.5000]]}

Which total magnetization belongs to each record? In order, 0.00, 0.00, 0.00, 10.65, 10.35, 1.49, 1.09, 0.00, 0.00, 0.00, 1.97, 0.00, 0.00, 0.00, 0.00, 0.09, 0.00, 0.00, 7.51, 4.33 μB/f.u..